1.
BaTiS3 | PBE | optimized geometry Values from VASP.

```
&SYSTEM
  ibrav = 0, nat = 10, ntyp = 3
/
ATOMIC_SPECIES
Ba 137.33 Ba.upf
Ti 47.87 Ti.upf
S 32.06 S.upf
CELL_PARAMETERS angstrom
6.3800 0.0000 0.0000
0.0000 6.4948 0.0000
-2.2036 0.0000 6.3133
ATOMIC_POSITIONS crystal
Ba 0.1994 0.2500 0.3124
Ba 0.8006 0.7500 0.6876
Ti 0.4260 0.7500 0.0466
Ti 0.5740 0.2500 0.9534
S 0.1374 0.7500 0.1600
S 0.3441 0.5107 0.7488
S 0.3441 0.9893 0.7488
S 0.6559 0.0107 0.2512
S 0.6559 0.4893 0.2512
S 0.8626 0.2500 0.8400
```

Uncorrected formation energy = -1.64 eV per atom
Space-group type = P2_1/m, No. 11

---

2.
Ba2TiS3 | PBE | optimized geometry Values from VASP.

```
&SYSTEM
  ibrav = 0, nat = 6, ntyp = 3
/
ATOMIC_SPECIES
Ba 137.33 Ba.upf
Ti 47.87 Ti.upf
S 32.06 S.upf
CELL_PARAMETERS angstrom
-2.1966 2.4000 7.9577
2.1966 -2.4000 7.9577
2.1966 2.4000 -7.9577
ATOMIC_POSITIONS crystal
Ba 0.1433 0.1433 0.0000
Ba 0.8567 0.8567 0.0000
Ti 0.5000 0.5000 0.0000
S 0.0000 0.5000 0.5000
S 0.3459 0.3459 0.0000
S 0.6541 0.6541 0.0000
```

Uncorrected formation energy = -1.67 eV per atom
Space-group type = Immm, No. 71

---

3.
BaTi6S12 | PBE | optimized geometry Values from VASP.

```
&SYSTEM
  ibrav = 0, nat = 19, ntyp = 3
/
ATOMIC_SPECIES
Ba 137.33 Ba.upf
Ti 47.87 Ti.upf
S 32.06 S.upf
CELL_PARAMETERS angstrom
6.0494 3.4927 2.8580
-6.0494 3.4927 2.8580
0.0000 -6.9853 2.8580
ATOMIC_POSITIONS crystal
Ba 0.0000 0.0000 0.0000
Ti 0.2611 0.2611 0.6421
Ti 0.2611 0.6421 0.2611
Ti 0.3579 0.7389 0.7389
Ti 0.6421 0.2611 0.2611
Ti 0.7389 0.3579 0.7389
Ti 0.7389 0.7389 0.3579
S 0.1205 0.5000 0.8795
S 0.1205 0.8795 0.5000
S 0.1655 0.4340 0.4340
S 0.4340 0.1655 0.4340
S 0.4340 0.4340 0.1655
S 0.5000 0.1205 0.8795
S 0.5000 0.8795 0.1205
S 0.5660 0.5660 0.8345
S 0.5660 0.8345 0.5660
S 0.8345 0.5660 0.5660
S 0.8795 0.1205 0.5000
S 0.8795 0.5000 0.1205
```

Uncorrected formation energy = -1.05 eV per atom
Space-group type = R-3m, No. 166

---

4.
Ba3TiS | PBE | optimized geometry Values from VASP.

```
&SYSTEM
  ibrav = 0, nat = 5, ntyp = 3
/
ATOMIC_SPECIES
Ba 137.33 Ba.upf
Ti 47.87 Ti.upf
S 32.06 S.upf
CELL_PARAMETERS angstrom
5.8203 0.0000 0.0000
0.0000 5.8203 0.0000
0.0000 0.0000 5.8203
ATOMIC_POSITIONS crystal
Ba 0.0000 0.0000 0.5000
Ba 0.0000 0.5000 0.0000
Ba 0.5000 0.0000 0.0000
Ti 0.0000 0.0000 0.0000
S 0.5000 0.5000 0.5000
```

Uncorrected formation energy = 0.34 eV per atom
Space-group type = Pm-3m, No. 221

---

5.
BaTi4S8 | PBE | optimized geometry Values from VASP.

```
&SYSTEM
  ibrav = 0, nat = 13, ntyp = 3
/
ATOMIC_SPECIES
Ba 137.33 Ba.upf
Ti 47.87 Ti.upf
S 32.06 S.upf
CELL_PARAMETERS angstrom
3.4362 1.9839 7.6821
-3.4362 1.9839 7.6821
0.0000 -3.9678 7.6821
ATOMIC_POSITIONS crystal
Ba 0.0000 0.0000 0.0000
Ti 0.0000 0.0000 0.5000
Ti 0.0000 0.5000 0.0000
Ti 0.5000 0.0000 0.0000
Ti 0.5000 0.5000 0.5000
S 0.2284 0.2284 0.2284
S 0.2330 0.7274 0.7274
S 0.2726 0.2726 0.7670
S 0.2726 0.7670 0.2726
S 0.7274 0.2330 0.7274
S 0.7274 0.7274 0.2330
S 0.7670 0.2726 0.2726
S 0.7716 0.7716 0.7716
```

Uncorrected formation energy = -1.51 eV per atom
Space-group type = R-3m, No. 166
Polymorph energy (0 for the lowest one) = 0.00 eV/f.u.

---

6.
BaTiS2 | PBE | optimized geometry Values from VASP.

```
&SYSTEM
  ibrav = 0, nat = 4, ntyp = 3
/
ATOMIC_SPECIES
Ba 137.33 Ba.upf
Ti 47.87 Ti.upf
S 32.06 S.upf
CELL_PARAMETERS angstrom
1.8634 1.0758 8.7506
-1.8634 1.0758 8.7506
0.0000 -2.1517 8.7506
ATOMIC_POSITIONS crystal
Ba 0.0000 0.0000 0.0000
Ti 0.5000 0.5000 0.5000
S 0.1161 0.1161 0.1161
S 0.8839 0.8839 0.8839
```

Uncorrected formation energy = -1.06 eV per atom
Space-group type = R-3m, No. 166
Polymorph energy (0 for the lowest one) = 1.04 eV/f.u.

---

7.
BaTiS3 | PBE | optimized geometry Values from VASP.

```
&SYSTEM
  ibrav = 0, nat = 5, ntyp = 3
/
ATOMIC_SPECIES
Ba 137.33 Ba.upf
Ti 47.87 Ti.upf
S 32.06 S.upf
CELL_PARAMETERS angstrom
5.5351 0.0000 0.0000
0.0000 5.5351 0.0000
0.0000 0.0000 5.5351
ATOMIC_POSITIONS crystal
Ba 0.0000 0.0000 0.0000
Ti 0.5000 0.5000 0.5000
S 0.0000 0.0000 0.5000
S 0.0000 0.5000 0.0000
S 0.5000 0.0000 0.0000
```

Uncorrected formation energy = 0.72 eV per atom
Space-group type = Pm-3m, No. 221

---

8.
BaTiS3 | PBE | optimized geometry Values from VASP.

```
&SYSTEM
  ibrav = 0, nat = 20, ntyp = 3
/
ATOMIC_SPECIES
Ba 137.33 Ba.upf
Ti 47.87 Ti.upf
S 32.06 S.upf
CELL_PARAMETERS angstrom
9.2167 0.0000 0.0000
0.0000 8.4091 0.0000
-3.7951 0.0000 7.4592
ATOMIC_POSITIONS crystal
Ba 0.1132 0.2505 0.0563
Ba 0.1132 0.2495 0.5563
Ba 0.8868 0.7505 0.4437
Ba 0.8868 0.7495 0.9437
Ti 0.3130 0.6205 0.4060
Ti 0.3130 0.8795 0.9060
Ti 0.6870 0.1205 0.0940
Ti 0.6870 0.3795 0.5940
S 0.0399 0.5269 0.2706
S 0.0399 0.9731 0.7706
S 0.2879 0.7489 0.1434
S 0.2879 0.7511 0.6434
S 0.3894 0.1506 0.9441
S 0.3894 0.3494 0.4441
S 0.6106 0.6506 0.5559
S 0.6106 0.8494 0.0559
S 0.7121 0.2489 0.3566
S 0.7121 0.2511 0.8566
S 0.9601 0.0269 0.2294
S 0.9601 0.4731 0.7294
```

Uncorrected formation energy = -1.56 eV per atom
Space-group type = P2_1/c, No. 14

---

9.
BaTi3S | PBE | optimized geometry Values from VASP.

```
&SYSTEM
  ibrav = 0, nat = 5, ntyp = 3
/
ATOMIC_SPECIES
Ba 137.33 Ba.upf
Ti 47.87 Ti.upf
S 32.06 S.upf
CELL_PARAMETERS angstrom
4.7720 0.0000 0.0000
0.0000 4.7720 0.0000
0.0000 0.0000 4.7720
ATOMIC_POSITIONS crystal
Ba 0.0000 0.0000 0.0000
Ti 0.0000 0.5000 0.5000
Ti 0.5000 0.0000 0.5000
Ti 0.5000 0.5000 0.0000
S 0.5000 0.5000 0.5000
```

Uncorrected formation energy = 0.00 eV per atom
Space-group type = Pm-3m, No. 221
Polymorph energy (0 for the lowest one) = 0.00 eV/f.u.

---

10.
Ba2UTiS6 | PBE | optimized geometry Values from VASP.

```
&SYSTEM
  ibrav = 0, nat = 10, ntyp = 4
/
ATOMIC_SPECIES
Ba 137.33 Ba.upf
U 238.03 U.upf
Ti 47.87 Ti.upf
S 32.06 S.upf
CELL_PARAMETERS angstrom
6.1259 -3.5246 0.0000
6.1259 3.5246 0.0000
-4.1571 0.0000 5.8315
ATOMIC_POSITIONS crystal
Ba 0.2481 0.2481 0.2433
Ba 0.7519 0.7519 0.7567
U 0.0000 0.0000 0.5000
Ti 0.5000 0.5000 0.0000
S 0.2269 0.7131 0.2121
S 0.2578 0.2578 0.7008
S 0.2869 0.7731 0.7879
S 0.7131 0.2269 0.2121
S 0.7422 0.7422 0.2992
S 0.7731 0.2869 0.7879
```

Uncorrected formation energy = -1.69 eV per atom
Space-group type = C2/m, No. 12

---

11.
BaTiWS6 | PBE | optimized geometry Values from VASP.

```
&SYSTEM
  ibrav = 0, nat = 9, ntyp = 4
/
ATOMIC_SPECIES
Ba 137.33 Ba.upf
Ti 47.87 Ti.upf
W 183.84 W.upf
S 32.06 S.upf
CELL_PARAMETERS angstrom
6.3056 0.0000 0.0000
-3.1528 5.4608 0.0000
0.0000 0.0000 6.5052
ATOMIC_POSITIONS crystal
Ba 0.0000 0.0000 0.0000
Ti 0.3333 0.6667 0.3868
W 0.6667 0.3333 0.4361
S 0.3660 0.0032 0.6125
S 0.4842 0.4737 0.1669
S 0.5263 0.0105 0.1669
S 0.6373 0.6340 0.6125
S 0.9895 0.5158 0.1669
S 0.9968 0.3627 0.6125
```

Uncorrected formation energy = -1.04 eV per atom
Space-group type = P3, No. 143

---

12.
Ba2TiZnS5 | PBE | optimized geometry Values from VASP.

```
&SYSTEM
  ibrav = 0, nat = 18, ntyp = 4
/
ATOMIC_SPECIES
Ba 137.33 Ba.upf
Ti 47.87 Ti.upf
Zn 65.41 Zn.upf
S 32.06 S.upf
CELL_PARAMETERS angstrom
1.9645 -9.0729 0.0000
1.9645 9.0729 0.0000
0.0000 0.0000 12.5417
ATOMIC_POSITIONS crystal
Ba 0.1167 0.8833 0.5000
Ba 0.1277 0.8723 0.1106
Ba 0.8723 0.1277 0.6106
Ba 0.8833 0.1167 0.0000
Ti 0.2131 0.7869 0.8208
Ti 0.7869 0.2131 0.3208
Zn 0.4349 0.5651 0.2529
Zn 0.5651 0.4349 0.7529
S 0.0738 0.9262 0.8532
S 0.2864 0.7136 0.4454
S 0.3020 0.6980 0.1859
S 0.3411 0.6589 0.8090
S 0.4970 0.5030 0.0949
S 0.5030 0.4970 0.5949
S 0.6589 0.3411 0.3090
S 0.6980 0.3020 0.6859
S 0.7136 0.2864 0.9454
S 0.9262 0.0738 0.3532
```

Uncorrected formation energy = -1.49 eV per atom
Space-group type = Cmc2_1, No. 36